Density functional theory data (GGA-PBE) for LiCd5Pb after structural relaxation.

Lattice parameters (Å, degrees): 4.302 4.302 9.243 90.00 90.00 90.00
Atoms (fractional coordinates):
1 Cd 0.000 0.000 0.000
2 Cd 0.000 0.500 0.240
3 Cd 0.500 0.000 0.240
4 Cd 0.500 0.000 0.760
5 Cd 0.000 0.500 0.760
6 Pb 0.000 0.000 0.500
7 Li 0.500 0.500 0.000

Calculated values
Uncorrected energy: -1.484 eV per atom
Total magnetic moment: 0.00 μB/f.u.
Mass density: 7.5 Mg/m³
SG: No. 123

---

Density functional theory data (GGA-PBE) for MgTc2Ag after structural relaxation.

Lattice parameters (Å, degrees): 2.882 3.796 5.968 90.00 90.00 90.00
Atoms (fractional coordinates):
1 Tc 0.000 0.000 0.035
2 Tc 0.500 0.500 0.210
3 Mg 0.500 0.500 0.744
4 Ag 0.000 0.000 0.511

Calculated values
Uncorrected energy: -6.087 eV per atom
Total magnetic moment: 0.00 μB/f.u.
Mass density: 8.3 Mg/m³
SG: No. 25

---

Density functional theory data (GGA-PBE) for SnBiAu3 after structural relaxation.

Lattice parameters (Å, degrees): 6.525 9.628 7.831 106.03 90.00 90.00
Atoms (fractional coordinates):
1 Au 0.336 0.611 0.052
2 Au 0.664 0.389 0.948
3 Au 0.502 0.268 0.600
4 Au 0.865 0.842 0.606
5 Au 0.164 0.611 0.552
6 Au 0.002 0.732 0.900
7 Au 0.498 0.732 0.400
8 Au 0.135 0.158 0.394
9 Au 0.365 0.158 0.894
10 Au 0.635 0.842 0.106
11 Au 0.836 0.389 0.448
12 Au 0.998 0.268 0.100
13 Bi 0.907 0.607 0.219
14 Bi 0.093 0.393 0.781
15 Bi 0.593 0.607 0.719
16 Bi 0.407 0.393 0.281
17 Sn 0.749 0.040 0.421
18 Sn 0.751 0.040 0.921
19 Sn 0.249 0.960 0.079
20 Sn 0.251 0.960 0.579

Calculated values
Energy above the most stable polymorph in this dataset: 0 meV per atom
Total magnetic moment: 0.00 μB/f.u.
Mass density: 12.9 Mg/m³
SG: No. 14

---

Density functional theory data (GGA-PBE) for SiTe2Rh after structural relaxation.

Lattice parameters (Å, degrees): 7.425 7.425 7.425 150.75 151.24 41.49
Atoms (fractional coordinates):
1 Si 0.750 0.250 0.500
2 Rh 0.250 0.750 0.500
3 Te 0.106 0.106 0.000
4 Te 0.394 0.394 0.000

Calculated values
Uncorrected energy: -4.875 eV per atom
Total magnetic moment: 0.00 μB/f.u.
Mass density: 6.7 Mg/m³
SG: No. 71

---

- Look up the total magnetic moment of the fourth one.
  0.00 μB/f.u.

---

- Which formula does entry 4 have?
  SiTe2Rh

---

- What is the total magnetic moment in the third record?
  0.00 μB/f.u.